NdHoOsO6 | PBE-GGA | optimized geometry

CIF file:
```
data_NdHoOsO6
_chemical_formula_sum 'Nd2 Ho2 Os2 O12'
_cell_length_a 5.518
_cell_length_b 5.518
_cell_length_c 9.931
_cell_angle_alpha 90.00
_cell_angle_beta 90.00
_cell_angle_gamma 120.00
_space_group_name_H-M_alt 'P 1'
_space_group_IT_number 1
loop_
_space_group_symop_operation_xyz
'x,y,z'
loop_
_atom_site_label
_atom_site_fract_x
_atom_site_fract_y
_atom_site_fract_z
Nd1 0.000 0.000 0.000
Nd2 0.000 0.000 0.500
Ho1 0.333 0.667 0.250
Ho2 0.667 0.333 0.750
Os1 0.333 0.667 0.750
Os2 0.667 0.333 0.250
O1 0.041 0.376 0.639
O2 0.041 0.665 0.861
O3 0.335 0.376 0.861
O4 0.335 0.959 0.639
O5 0.376 0.041 0.139
O6 0.376 0.335 0.361
O7 0.624 0.665 0.639
O8 0.624 0.959 0.861
O9 0.665 0.041 0.361
O10 0.665 0.624 0.139
O11 0.959 0.335 0.139
O12 0.959 0.624 0.361
```

Output
* E_tot: -142.9 eV per cell
* total magnetic moment: 2.01 μB per formula unit
* V: 14.55 Å³/atom
* ΔE_f (raw): -2.35 eV/atom